[1]
Here is a relaxed structure of MgRe from OQMD via LeMat-Bulk. Energies are from PBE.

Output
The total energy comes out at -0.498 Ry/atom. As for the distance to the lowest polymorph of the same formula: 0.134 eV per atom.

a b c (Å): 4.553 6.334 9.049
angles (deg): 90.00 90.00 90.00
Sites, in units of the cell vectors:
Mg: 0.250 0.008 0.131
Mg: 0.250 0.492 0.131
Mg: 0.250 0.750 0.370
Mg: 0.250 0.750 0.884
Mg: 0.750 0.250 0.116
Mg: 0.750 0.250 0.630
Mg: 0.750 0.508 0.869
Mg: 0.750 0.992 0.869
Re: 0.250 0.250 0.409
Re: 0.250 0.250 0.831
Re: 0.250 0.511 0.625
Re: 0.250 0.989 0.625
Re: 0.750 0.011 0.375
Re: 0.750 0.489 0.375
Re: 0.750 0.750 0.169
Re: 0.750 0.750 0.591

***

[2]
Here is a relaxed structure of YZnCoAg from OQMD via LeMat-Bulk. Energies are from PBE.

Output
The total energy comes out at -0.327 Ry/atom. The calculation puts the formation energy at -0.03 eV/atom. As for the distance to the lowest polymorph of the same formula: 0.000 eV per atom.

a b c (Å): 4.654 4.654 4.654
angles (deg): 60.00 60.00 60.00
Sites, in units of the cell vectors:
Y: 0.000 0.000 0.000
Zn: 0.500 0.500 0.500
Co: 0.750 0.750 0.750
Ag: 0.250 0.250 0.250

***

[3]
Here is a relaxed structure of NiBiIr from OQMD via LeMat-Bulk. Energies are from PBE.

Output
The total energy comes out at -0.423 Ry/atom.

a b c (Å): 4.260 4.260 4.260
angles (deg): 60.00 60.00 60.00
Sites, in units of the cell vectors:
Ni: 0.000 0.000 0.000
Bi: 0.750 0.750 0.750
Ir: 0.250 0.250 0.250

***

[4]
Here is a relaxed structure of FeW2N from OQMD via LeMat-Bulk. Energies are from PBE.

Output
The total energy comes out at -0.782 Ry/atom. As for the distance to the lowest polymorph of the same formula: 0.000 eV per atom.

a b c (Å): 4.918 4.918 14.171
angles (deg): 100.37 100.37 60.42
Sites, in units of the cell vectors:
Fe: 0.066 0.414 0.750
Fe: 0.103 0.897 0.750
Fe: 0.414 0.066 0.250
Fe: 0.586 0.934 0.750
Fe: 0.897 0.103 0.250
Fe: 0.934 0.586 0.250
W: 0.024 0.202 0.092
W: 0.140 0.305 0.408
W: 0.202 0.024 0.592
W: 0.305 0.140 0.908
W: 0.382 0.556 0.160
W: 0.444 0.618 0.340
W: 0.556 0.382 0.660
W: 0.618 0.444 0.840
W: 0.695 0.860 0.092
W: 0.798 0.976 0.408
W: 0.860 0.695 0.592
W: 0.976 0.798 0.908
N: 0.000 0.500 0.000
N: 0.175 0.663 0.500
N: 0.337 0.825 0.000
N: 0.500 0.000 0.500
N: 0.663 0.175 0.000
N: 0.825 0.337 0.500

***

[5]
Here is a relaxed structure of KLuIr from OQMD via LeMat-Bulk. Energies are from PBE.

Output
The total energy comes out at -0.332 Ry/atom. As for the distance to the lowest polymorph of the same formula: 0.000 eV per atom.

a b c (Å): 4.856 4.856 4.856
angles (deg): 60.00 60.00 60.00
Sites, in units of the cell vectors:
K: 0.000 0.000 0.000
Lu: 0.500 0.500 0.500
Ir: 0.250 0.250 0.250

***

[6]
Here is a relaxed structure of Re6NiPd from OQMD via LeMat-Bulk. Energies are from PBE.

Output
The total energy comes out at -0.788 Ry/atom. The calculation puts the formation energy at -0.06 eV/atom.

a b c (Å): 5.476 5.476 4.388
angles (deg): 90.00 90.00 120.00
Sites, in units of the cell vectors:
Re: 0.012 0.506 0.000
Re: 0.168 0.336 0.500
Re: 0.168 0.832 0.500
Re: 0.494 0.506 0.000
Re: 0.494 0.988 0.000
Re: 0.664 0.832 0.500
Ni: 0.000 0.000 0.000
Pd: 0.667 0.333 0.500

***

[7]
Here is a relaxed structure of SmUSb from OQMD via LeMat-Bulk. Energies are from PBE.

Output
The total energy comes out at -0.451 Ry/atom. As for the distance to the lowest polymorph of the same formula: 0.000 eV per atom.

a b c (Å): 5.224 5.224 5.224
angles (deg): 60.00 60.00 60.00
Sites, in units of the cell vectors:
Sm: 0.000 0.000 0.000
U: 0.750 0.750 0.750
Sb: 0.500 0.500 0.500

***

[8]
Here is a relaxed structure of BaSmAuO3 from OQMD via LeMat-Bulk. Energies are from PBE.

Output
The total energy comes out at -0.470 Ry/atom.

a b c (Å): 7.085 7.085 8.789
angles (deg): 90.00 90.00 148.84
Sites, in units of the cell vectors:
Ba: 0.187 0.813 0.750
Ba: 0.813 0.187 0.250
Sm: 0.500 0.500 0.000
Sm: 0.500 0.500 0.500
Au: 0.113 0.887 0.250
Au: 0.887 0.113 0.750
O: 0.110 0.890 0.020
O: 0.110 0.890 0.480
O: 0.437 0.563 0.250
O: 0.563 0.437 0.750
O: 0.890 0.110 0.520
O: 0.890 0.110 0.980

***

[9]
Here is a relaxed structure of SrInGePt2 from OQMD via LeMat-Bulk. Energies are from PBE.

Output
The total energy comes out at -0.368 Ry/atom.

a b c (Å): 4.493 4.493 10.794
angles (deg): 90.00 90.00 90.00
Sites, in units of the cell vectors:
Sr: 0.250 0.250 0.235
Sr: 0.750 0.750 0.765
In: 0.250 0.750 0.500
In: 0.750 0.250 0.500
Ge: 0.250 0.250 0.885
Ge: 0.750 0.750 0.115
Pt: 0.250 0.250 0.655
Pt: 0.250 0.750 0.000
Pt: 0.750 0.250 0.000
Pt: 0.750 0.750 0.345

***

[10]
Here is a relaxed structure of SiAg2S3 from OQMD via LeMat-Bulk. Energies are from PBE.

Output
The total energy comes out at -0.315 Ry/atom.

a b c (Å): 6.709 6.685 13.369
angles (deg): 90.00 118.43 90.00
Sites, in units of the cell vectors:
Si: 0.160 0.153 0.004
Si: 0.160 0.347 0.504
Si: 0.840 0.653 0.496
Si: 0.840 0.847 0.996
Ag: 0.232 0.021 0.752
Ag: 0.232 0.479 0.252
Ag: 0.485 0.608 0.112
Ag: 0.485 0.892 0.612
Ag: 0.515 0.108 0.388
Ag: 0.515 0.392 0.888
Ag: 0.768 0.521 0.748
Ag: 0.768 0.979 0.248
S: 0.123 0.203 0.356
S: 0.123 0.297 0.856
S: 0.151 0.672 0.481
S: 0.151 0.828 0.981
S: 0.440 0.248 0.157
S: 0.440 0.252 0.657
S: 0.560 0.748 0.343
S: 0.560 0.752 0.843
S: 0.849 0.172 0.019
S: 0.849 0.328 0.519
S: 0.877 0.703 0.144
S: 0.877 0.797 0.644

***

[11]
Here is a relaxed structure of BiW from OQMD via LeMat-Bulk. Energies are from PBE.

Output
The total energy comes out at -0.553 Ry/atom. As for the distance to the lowest polymorph of the same formula: 0.436 eV per atom.

a b c (Å): 4.562 4.562 5.189
angles (deg): 90.00 90.00 120.00
Sites, in units of the cell vectors:
Bi: 0.333 0.667 0.250
Bi: 0.667 0.333 0.750
W: 0.000 0.000 0.000
W: 0.000 0.000 0.500

***

[12]
Here is a relaxed structure of TmAlHgTe3 from OQMD via LeMat-Bulk. Energies are from PBE.

Output
The total energy comes out at -0.274 Ry/atom.

a b c (Å): 8.896 8.896 11.663
angles (deg): 90.00 90.00 152.57
Sites, in units of the cell vectors:
Tm: 0.000 0.000 0.000
Tm: 0.000 0.000 0.500
Al: 0.456 0.544 0.750
Al: 0.544 0.456 0.250
Hg: 0.261 0.739 0.250
Hg: 0.739 0.261 0.750
Te: 0.059 0.941 0.750
Te: 0.379 0.621 0.558
Te: 0.379 0.621 0.942
Te: 0.621 0.379 0.058
Te: 0.621 0.379 0.442
Te: 0.941 0.059 0.250

***

[13]
Here is a relaxed structure of BaNdB4 from OQMD via LeMat-Bulk. Energies are from PBE.

Output
The total energy comes out at -0.404 Ry/atom. As for the distance to the lowest polymorph of the same formula: 0.188 eV per atom.

a b c (Å): 3.327 3.327 8.987
angles (deg): 90.00 90.00 120.00
Sites, in units of the cell vectors:
Ba: 0.000 0.000 0.000
Nd: 0.000 0.000 0.500
B: 0.333 0.667 0.274
B: 0.333 0.667 0.726
B: 0.667 0.333 0.274
B: 0.667 0.333 0.726